A relaxed Na2VBF8 crystal, computed with PBE with a Hubbard U.

Calculated total energy: -58.57 eV per cell
Space-group type: P-3m1

```
Na2VBF8
1.0
-3.788 -0.049 -4.098
5.319 -1.280 -1.102
-1.007 -5.037 0.991
Na V B F
2 1 1 8
direct
0.667 0.333 0.038 Na
0.333 0.667 0.962 Na
0.000 0.000 0.500 V
0.000 0.000 0.000 B
0.866 0.732 0.813 F
0.268 0.134 0.813 F
0.866 0.134 0.813 F
0.134 0.268 0.187 F
0.732 0.866 0.187 F
0.134 0.866 0.187 F
0.667 0.333 0.439 F
0.333 0.667 0.561 F
```